Entry 1:
This record from Alexandria via LeMat-Bulk describes a relaxed structure of Pr2Ho2TmSc2. The functional is PBE-GGA.

The total energy comes out at -4.966 eV/atom. The magnetization is 0.00 μB/atom.

Cell lengths 3.4122, 8.4981, 8.5565 Å; angles 116.42, 90.00, 101.58 degrees
Fractional coordinates of all 7 atoms:
1 Sc 0.7775 0.5549 0.3617
2 Sc 0.2225 0.4451 0.6383
3 Pr 0.6379 0.2758 0.9070
4 Pr 0.3621 0.7242 0.0930
5 Ho 0.0826 0.1652 0.2102
6 Ho 0.9174 0.8348 0.7898
7 Tm 0.0000 0.0000 0.5000

=====

Entry 2:
This record from Alexandria via LeMat-Bulk describes a relaxed structure of Pr2HoTmSc. The functional is PBE-GGA.

The total energy comes out at -4.600 eV/atom. The magnetization is 0.00 μB/atom.

Cell lengths 7.2289, 8.2251, 7.0051 Å; angles 125.95, 90.00, 90.00 degrees
Fractional coordinates of all 10 atoms:
1 Pr 0.5000 0.3004 0.0000
2 Pr 0.5000 0.6996 0.0000
3 Pr 0.0000 0.6996 0.0000
4 Pr 0.0000 0.3004 0.0000
5 Ho 0.2500 0.7315 0.4630
6 Ho 0.7500 0.2685 0.5370
7 Tm 0.7500 0.7364 0.4729
8 Tm 0.2500 0.2636 0.5271
9 Sc 0.7500 0.0042 0.0084
10 Sc 0.2500 0.9958 0.9916

=====

Entry 3:
This record from Alexandria via LeMat-Bulk describes a relaxed structure of PrHo5TmSc2. The functional is PBE-GGA.

The total energy comes out at -4.807 eV/atom. The magnetization is 0.00 μB/atom.

Cell lengths 5.5799, 11.1167, 9.2697 Å; angles 90.00, 90.00, 104.53 degrees
Fractional coordinates of all 18 atoms:
1 Ho 0.7341 0.4682 0.8327
2 Ho 0.9914 0.9829 0.5158
3 Ho 0.0086 0.0171 0.0158
4 Ho 0.3931 0.7863 0.0482
5 Ho 0.5318 0.0637 0.2489
6 Ho 0.6069 0.2137 0.5482
7 Ho 0.2659 0.5318 0.3327
8 Ho 0.6919 0.3839 0.2196
9 Ho 0.4682 0.9363 0.7489
10 Ho 0.3081 0.6161 0.7196
11 Pr 0.1840 0.3681 0.0168
12 Pr 0.8160 0.6319 0.5168
13 Tm 0.4035 0.8069 0.4201
14 Tm 0.5965 0.1931 0.9201
15 Sc 0.8617 0.7234 0.1967
16 Sc 0.8864 0.7729 0.8252
17 Sc 0.1383 0.2766 0.6967
18 Sc 0.1136 0.2271 0.3252

=====

Entry 4:
This record from Alexandria via LeMat-Bulk describes a relaxed structure of Pr6Ho3Tm2Sc. The functional is PBE-GGA.

The total energy comes out at -4.781 eV/atom. The magnetization is 0.00 μB/atom.

Cell lengths 6.2508, 6.2508, 11.7362 Å; angles 95.09, 95.09, 119.98 degrees
Fractional coordinates of all 12 atoms:
1 Ho 0.8332 0.1668 0.5000
2 Ho 0.1668 0.8332 0.5000
3 Ho 0.5000 0.5000 0.5000
4 Pr 0.0820 0.4129 0.2466
5 Pr 0.9180 0.5871 0.7534
6 Pr 0.7510 0.7510 0.2469
7 Pr 0.2490 0.2490 0.7531
8 Pr 0.5871 0.9180 0.7534
9 Pr 0.4129 0.0820 0.2466
10 Tm 0.3334 0.6666 0.0000
11 Tm 0.6666 0.3334 0.0000
12 Sc 0.0000 0.0000 0.0000

=====

Entry 5:
This record from Alexandria via LeMat-Bulk describes a relaxed structure of PrHo2TmSc2. The functional is PBE-GGA.

The total energy comes out at -5.101 eV/atom. The magnetization is 0.00 μB/atom.

Cell lengths 5.4615, 9.5178, 6.7719 Å; angles 90.00, 90.00, 90.00 degrees
Fractional coordinates of all 12 atoms:
1 Ho 0.5000 0.1665 0.7465
2 Ho 0.0000 0.3335 0.2465
3 Ho 0.5000 0.8335 0.2535
4 Ho 0.0000 0.6665 0.7535
5 Pr 0.5000 0.5000 0.5000
6 Pr 0.0000 0.0000 0.0000
7 Tm 0.0000 0.0000 0.5000
8 Tm 0.5000 0.5000 0.0000
9 Sc 0.0000 0.3330 0.7500
10 Sc 0.0000 0.6670 0.2500
11 Sc 0.5000 0.1670 0.2500
12 Sc 0.5000 0.8330 0.7500

=====

Entry 6:
This record from Alexandria via LeMat-Bulk describes a relaxed structure of Pr5HoTm2Sc. The functional is PBE-GGA.

The total energy comes out at -4.735 eV/atom. The magnetization is 0.00 μB/atom.

Cell lengths 5.3844, 11.2522, 10.3240 Å; angles 90.00, 90.00, 103.84 degrees
Fractional coordinates of all 18 atoms:
1 Pr 0.4998 0.9996 0.2577
2 Pr 0.6274 0.2547 0.5081
3 Pr 0.7206 0.4411 0.1966
4 Pr 0.7212 0.4425 0.8210
5 Pr 0.3726 0.7453 0.0081
6 Pr 0.5002 0.0004 0.7577
7 Pr 0.2794 0.5589 0.6966
8 Pr 0.2788 0.5575 0.3210
9 Pr 0.0007 0.0013 0.5079
10 Pr 0.9993 0.9987 0.0079
11 Ho 0.6013 0.2026 0.0080
12 Ho 0.3987 0.7974 0.5080
13 Sc 0.2117 0.4234 0.0088
14 Sc 0.7883 0.5766 0.5088
15 Tm 0.8852 0.7705 0.7538
16 Tm 0.1148 0.2295 0.2538
17 Tm 0.1153 0.2307 0.7621
18 Tm 0.8847 0.7693 0.2621

=====

Entry 7:
This record from Alexandria via LeMat-Bulk describes a relaxed structure of PrHo6Tm2Sc3. The functional is PBE-GGA.

The total energy comes out at -4.970 eV/atom. The magnetization is 0.00 μB/atom.

Cell lengths 6.0248, 6.0248, 11.4497 Å; angles 95.03, 95.03, 119.98 degrees
Fractional coordinates of all 12 atoms:
1 Ho 0.4206 0.0866 0.2596
2 Ho 0.7525 0.7525 0.2597
3 Ho 0.2475 0.2475 0.7403
4 Ho 0.5794 0.9134 0.7404
5 Ho 0.0866 0.4206 0.2596
6 Ho 0.9134 0.5794 0.7404
7 Sc 0.1671 0.8329 0.5000
8 Sc 0.5000 0.5000 0.5000
9 Sc 0.8329 0.1671 0.5000
10 Pr 0.0000 0.0000 0.0000
11 Tm 0.6666 0.3334 0.0000
12 Tm 0.3334 0.6666 0.0000

=====

Entry 8:
This record from Alexandria via LeMat-Bulk describes a relaxed structure of PrHo3TmSc. The functional is PBE-GGA.

The total energy comes out at -4.845 eV/atom. The magnetization is 0.00 μB/atom.

Cell lengths 4.9515, 7.8280, 9.9631 Å; angles 90.00, 90.00, 108.44 degrees
Fractional coordinates of all 12 atoms:
1 Ho 0.6679 0.3358 0.5001
2 Ho 0.3321 0.6642 0.0001
3 Ho 0.8302 0.6603 0.2500
4 Ho 0.1698 0.3397 0.7500
5 Ho 0.3321 0.6642 0.4999
6 Ho 0.6679 0.3358 0.9999
7 Pr 0.4970 0.9941 0.7500
8 Pr 0.5030 0.0059 0.2500
9 Tm 0.0000 0.0000 0.0000
10 Tm 0.0000 0.0000 0.5000
11 Sc 0.1686 0.3372 0.2500
12 Sc 0.8314 0.6628 0.7500

=====

Entry 9:
This record from Alexandria via LeMat-Bulk describes a relaxed structure of PrHo6Tm3Sc2. The functional is PBE-GGA.

The total energy comes out at -4.821 eV/atom. The magnetization is 0.00 μB/atom.

Cell lengths 6.0340, 6.0340, 11.5719 Å; angles 94.96, 94.96, 119.96 degrees
Fractional coordinates of all 12 atoms:
1 Pr 0.0000 0.0000 0.0000
2 Sc 0.6667 0.3333 0.0000
3 Sc 0.3333 0.6667 0.0000
4 Ho 0.7472 0.7472 0.2485
5 Ho 0.5803 0.9164 0.7514
6 Ho 0.2528 0.2528 0.7515
7 Ho 0.0836 0.4197 0.2486
8 Ho 0.4197 0.0836 0.2486
9 Ho 0.9164 0.5803 0.7514
10 Tm 0.5000 0.5000 0.5000
11 Tm 0.1673 0.8327 0.5000
12 Tm 0.8327 0.1673 0.5000

=====

Entry 10:
This record from Alexandria via LeMat-Bulk describes a relaxed structure of Pr6HoTm2Sc. The functional is PBE-GGA.

The total energy comes out at -4.636 eV/atom. The magnetization is 0.00 μB/atom.

Cell lengths 8.9482, 7.5768, 6.4110 Å; angles 126.22, 100.59, 90.00 degrees
Fractional coordinates of all 10 atoms:
1 Pr 0.4430 0.6576 0.3153
2 Pr 0.7871 0.9175 0.2708
3 Pr 0.2129 0.6468 0.7292
4 Pr 0.2129 0.0825 0.7292
5 Pr 0.5570 0.3424 0.6847
6 Pr 0.7871 0.3532 0.2708
7 Sc 0.5000 0.0000 0.0000
8 Tm 0.1430 0.1264 0.2528
9 Tm 0.8570 0.8736 0.7472
10 Ho 0.0000 0.5000 0.0000

=====

Entry 11:
This record from Alexandria via LeMat-Bulk describes a relaxed structure of PrHo5Tm2Sc. The functional is PBE-GGA.

The total energy comes out at -4.592 eV/atom. The magnetization is 0.00 μB/atom.

Cell lengths 5.5391, 10.2188, 10.3197 Å; angles 90.00, 90.00, 105.73 degrees
Fractional coordinates of all 18 atoms:
1 Ho 0.7018 0.4036 0.2067
2 Ho 0.6227 0.2454 0.5212
3 Ho 0.7237 0.4473 0.8219
4 Ho 0.0179 0.0359 0.0206
5 Ho 0.4800 0.9600 0.7385
6 Ho 0.2763 0.5527 0.3219
7 Ho 0.5200 0.0400 0.2385
8 Ho 0.3773 0.7546 0.0212
9 Ho 0.9821 0.9641 0.5206
10 Ho 0.2982 0.5964 0.7067
11 Tm 0.8885 0.7770 0.8143
12 Tm 0.1115 0.2230 0.3143
13 Tm 0.1140 0.2281 0.7352
14 Tm 0.8860 0.7719 0.2352
15 Pr 0.5869 0.1739 0.9509
16 Pr 0.4131 0.8261 0.4509
17 Sc 0.1959 0.3918 0.0147
18 Sc 0.8041 0.6082 0.5147

=====

Entry 12:
This record from Alexandria via LeMat-Bulk describes a relaxed structure of PrHoTm2Sc2. The functional is PBE-GGA.

The total energy comes out at -5.082 eV/atom. The magnetization is 0.00 μB/atom.

Cell lengths 5.4615, 9.5143, 6.7428 Å; angles 90.00, 90.00, 90.00 degrees
Fractional coordinates of all 12 atoms:
1 Ho 0.0000 0.0000 0.5000
2 Ho 0.5000 0.5000 0.0000
3 Sc 0.5000 0.8332 0.7501
4 Sc 0.0000 0.6668 0.2501
5 Sc 0.0000 0.3332 0.7499
6 Sc 0.5000 0.1668 0.2499
7 Tm 0.0000 0.3335 0.2473
8 Tm 0.5000 0.1665 0.7473
9 Tm 0.0000 0.6665 0.7527
10 Tm 0.5000 0.8335 0.2527
11 Pr 0.0000 0.0000 0.0000
12 Pr 0.5000 0.5000 0.5000